1.
NiMo2Ir: single point on PBEsol structure, SCAN.

The structure in POSCAR format:
```
NiMo2Ir
1.0
-0.607 -2.495 0.893
2.055 0.586 3.035
-4.419 2.007 2.604
Mo Ni Ir
2 1 1
direct
0.000 0.000 0.982
0.500 0.500 0.276
0.000 0.000 0.496
0.500 0.500 0.745
```

**Space-group type**: No. 25
**Energy above the lowest structure with this stoichiometry**: 158.6 meV per atom
**Crystal system**: orthorhombic
**Energy relative to the elements**: -0.0370 eV/atom

=====

2.
TlNiMoIr2: single point on PBEsol structure, SCAN.

The structure in POSCAR format:
```
TlNiMoIr2
1.0
4.474 0.000 0.000
0.000 4.852 0.000
0.000 0.000 4.852
Tl Ni Ir Mo
1 1 2 1
direct
0.000 0.000 0.000
0.500 0.000 0.000
0.000 0.500 0.000
0.000 0.000 0.500
0.500 0.500 0.500
```

**Space-group type**: No. 123
**Crystal system**: tetragonal
**Energy relative to the elements**: 2.3622 eV/atom

=====

3.
MoIrO2: single point on PBEsol structure, SCAN.

The structure in POSCAR format:
```
MoIrO2
1.0
-2.795 -2.218 -1.240
1.910 -3.050 1.150
-2.411 3.015 5.794
O Mo Ir
4 2 2
direct
0.125 0.147 0.750
0.625 0.603 0.750
0.397 0.875 0.250
0.853 0.375 0.250
0.750 0.250 0.500
0.500 0.500 0.000
0.250 0.750 0.500
0.000 0.000 0.000
```

**Formation energy from raw total energies**: -0.49 eV per atom
**Space-group type**: No. 122
**Energy above the lowest structure with this stoichiometry**: 0.0 meV per atom
**Crystal system**: tetragonal

=====

4.
MoIrO2: single point on PBEsol structure, SCAN.

The structure in POSCAR format:
```
MoIrO2
1.0
3.899 0.000 0.000
1.950 3.377 0.000
1.950 1.126 3.184
O Ir Mo
2 1 1
direct
0.750 0.750 0.750
0.250 0.250 0.250
0.500 0.500 0.500
0.000 0.000 0.000
```

**Formation energy from raw total energies**: 0.41 eV per atom
**Space-group type**: No. 225
**Energy above the lowest structure with this stoichiometry**: 902.4 meV per atom
**Crystal system**: cubic

=====

5.
MoP2IrO: single point on PBEsol structure, SCAN.

The structure in POSCAR format:
```
MoP2IrO
1.0
3.585 0.000 0.000
0.000 4.727 0.000
0.000 0.000 4.727
P O Mo Ir
2 1 1 1
direct
0.000 0.500 0.000
0.000 0.000 0.500
0.500 0.000 0.000
0.500 0.500 0.500
0.000 0.000 0.000
```

**Formation energy from raw total energies**: 0.51 eV per atom
**Space-group type**: No. 123
**Crystal system**: tetragonal

=====

6.
MoIr3Os: single point on PBEsol structure, SCAN.

The structure in POSCAR format:
```
MoIr3Os
1.0
4.646 0.000 0.000
0.000 4.646 0.000
0.000 0.000 4.646
Ir Os Mo
3 1 1
direct
0.500 0.000 0.000
0.000 0.500 0.000
0.000 0.000 0.500
0.000 0.000 0.000
0.500 0.500 0.500
```

**Space-group type**: No. 221
**Crystal system**: cubic
**Energy relative to the elements**: 2.0726 eV/atom

=====

7.
MoIrOs: single point on PBEsol structure, SCAN.

The structure in POSCAR format:
```
MoIrOs
1.0
4.154 0.000 0.000
2.077 3.597 0.000
2.077 1.199 3.391
Os Ir Mo
1 1 1
direct
0.000 0.000 0.000
0.500 0.500 0.500
0.250 0.250 0.250
```

**Space-group type**: No. 216
**Energy above the lowest structure with this stoichiometry**: 415.6 meV per atom
**Crystal system**: cubic
**Energy relative to the elements**: 0.3422 eV/atom

=====

8.
MoIrOs: single point on PBEsol structure, SCAN.

The structure in POSCAR format:
```
MoIrOs
1.0
-1.702 0.277 -2.089
-2.442 -2.502 1.658
0.200 4.225 2.155
Ir Os Mo
1 1 1
direct
0.001 0.001 0.002
0.667 0.667 0.334
0.332 0.332 0.664
```

**Space-group type**: No. 44
**Energy above the lowest structure with this stoichiometry**: 0.0 meV per atom
**Crystal system**: orthorhombic
**Energy relative to the elements**: -0.0734 eV/atom

=====

9.
MoIrOs: single point on PBEsol structure, SCAN.

The structure in POSCAR format:
```
MoIrOs
1.0
2.724 0.000 0.000
0.000 2.724 0.000
-1.362 -1.362 5.825
Mo Ir Os
1 1 1
direct
0.333 0.333 0.665
0.001 0.001 0.002
0.666 0.666 0.332
```

**Space-group type**: No. 107
**Energy above the lowest structure with this stoichiometry**: 6.7 meV per atom
**Crystal system**: tetragonal
**Energy relative to the elements**: -0.0666 eV/atom

=====

10.
MoIrOsPb2: single point on PBEsol structure, SCAN.

The structure in POSCAR format:
```
MoIrOsPb2
1.0
4.585 0.000 0.000
0.000 5.159 0.000
0.000 0.000 5.159
Mo Pb Ir Os
1 2 1 1
direct
0.000 0.000 0.000
0.000 0.000 0.500
0.000 0.500 0.000
0.500 0.500 0.500
0.500 0.000 0.000
```

**Space-group type**: No. 123
**Crystal system**: tetragonal
**Energy relative to the elements**: 1.9537 eV/atom

=====

11.
Mo2PIr: single point on PBEsol structure, SCAN.

The structure in POSCAR format:
```
Mo2PIr
1.0
2.798 0.000 0.000
1.399 2.423 0.000
1.399 0.808 8.386
Ir P Mo
1 1 2
direct
0.244 0.244 0.269
0.500 0.500 0.499
0.998 0.998 0.005
0.758 0.758 0.727
```

**Space-group type**: No. 160
**Crystal system**: trigonal
**Energy relative to the elements**: 0.0990 eV/atom

=====

12.
MoPIr: single point on PBEsol structure, SCAN.

The structure in POSCAR format:
```
MoPIr
1.0
2.806 0.000 0.000
0.000 4.115 0.000
0.000 -2.058 3.564
Mo Ir P
1 1 1
direct
0.592 0.667 0.333
0.110 0.000 0.000
0.298 0.333 0.667
```

**Space-group type**: No. 156
**Crystal system**: trigonal
**Energy relative to the elements**: -0.1977 eV/atom